! GGA-PBE Cd3AgBr, optimized geometry; values from VASP
! SG: No. 221
! E_form (uncorrected) in eV/atom: 0.60
! Spin magnetization in μB per atom: 0.00
! Offset from the most stable computed form in meV/atom: 605
&SYSTEM
  ibrav = 0, nat = 5, ntyp = 3
/
ATOMIC_SPECIES
Br 79.90 Br.upf
Ag 107.87 Ag.upf
Cd 112.41 Cd.upf
ATOMIC_POSITIONS crystal
Br 0.000 0.000 0.000
Ag 0.500 0.500 0.500
Cd 0.000 0.500 0.000
Cd 0.000 0.000 0.500
Cd 0.500 0.000 0.000
CELL_PARAMETERS angstrom
5.754 0.000 0.000
0.000 5.754 0.000
0.000 0.000 5.754

=====

! GGA-PBE SbTeRuN2, optimized geometry; values from VASP
! SG: No. 123
! E_form (uncorrected) in eV/atom: 1.03
! Spin magnetization in μB per atom: 0.15
! Offset from the most stable computed form in meV/atom: 0
&SYSTEM
  ibrav = 0, nat = 5, ntyp = 4
/
ATOMIC_SPECIES
Sb 121.76 Sb.upf
N 14.01 N.upf
Te 127.60 Te.upf
Ru 101.07 Ru.upf
ATOMIC_POSITIONS crystal
Sb 0.500 0.500 0.500
N 0.000 0.500 0.000
N 0.500 0.000 0.000
Te 0.000 0.000 0.500
Ru 0.000 0.000 0.000
CELL_PARAMETERS angstrom
-1.270 3.204 -2.050
-2.369 1.025 3.069
4.182 3.067 2.203

=====

! GGA-PBE Gd2Tm, optimized geometry; values from VASP
! SG: No. 227
! Spin magnetization in μB per atom: 4.80
! E_form in eV per atom: 0.255
! Offset from the most stable computed form in meV/atom: 167
&SYSTEM
  ibrav = 0, nat = 6, ntyp = 2
/
ATOMIC_SPECIES
Gd 157.25 Gd.upf
Tm 168.93 Tm.upf
ATOMIC_POSITIONS crystal
Gd 0.125 0.625 0.625
Gd 0.625 0.125 0.625
Gd 0.625 0.625 0.625
Gd 0.625 0.625 0.125
Tm 0.000 0.000 0.000
Tm 0.250 0.250 0.250
CELL_PARAMETERS angstrom
6.531 0.000 0.000
3.266 5.656 0.000
3.266 1.885 5.333

=====

! GGA-PBE PmGe2Se6, optimized geometry; values from VASP
! SG: No. 15
! E_form (uncorrected) in eV/atom: -0.55
! Spin magnetization in μB per atom: 0.00
&SYSTEM
  ibrav = 0, nat = 18, ntyp = 3
/
ATOMIC_SPECIES
Pm 145.00 Pm.upf
Ge 72.64 Ge.upf
Se 78.96 Se.upf
ATOMIC_POSITIONS crystal
Pm 0.250 0.165 0.835
Pm 0.750 0.835 0.165
Ge 0.279 0.628 0.773
Ge 0.221 0.227 0.372
Ge 0.721 0.372 0.227
Ge 0.779 0.773 0.628
Se 0.488 0.745 0.531
Se 0.012 0.469 0.255
Se 0.512 0.255 0.469
Se 0.988 0.531 0.745
Se 0.001 0.858 0.395
Se 0.499 0.605 0.142
Se 0.999 0.142 0.605
Se 0.501 0.395 0.858
Se 0.173 0.832 0.956
Se 0.327 0.044 0.168
Se 0.827 0.168 0.044
Se 0.673 0.956 0.832
CELL_PARAMETERS angstrom
6.809 0.053 0.052
2.043 8.457 0.238
2.043 0.512 8.445

=====

Density of states at the Fermi level, record by record: 2.731 4.708 5.794 4.229 states/eV/f.u.